# NiBSe3 (GGA-PBE, relaxed)
# Calculated volume in Å³/atom: 17.1
# DOS at the Fermi energy in states/eV per atom: 1.11
# Total magnetic moment in μB per cell: 1.153
# Calculated total energy in eV/cell: -18.24
# Energy above the most stable polymorph in this dataset in meV per atom: 0.0
data_NiBSe3
_chemical_formula_sum 'Ni1 B1 Se3'
_space_group_name_H-M_alt 'P m -3 m'
_space_group_IT_number 221
_space_group_name_Hall '-P 4 2 3'
_cell_length_a 4.4069
_cell_length_b 4.4069
_cell_length_c 4.4069
_cell_angle_alpha 90.00
_cell_angle_beta 90.00
_cell_angle_gamma 90.00
loop_
_atom_site_label
_atom_site_type_symbol
_atom_site_fract_x
_atom_site_fract_y
_atom_site_fract_z
_atom_site_occupancy
Ni1 Ni 0.0000 0.0000 0.0000 1
B1 B 0.5000 0.5000 0.5000 1
Se1 Se 0.0000 0.5000 0.5000 1